# 1
Cd3CuPb PBE-GGA relaxed; space group = No. 221; excess energy over the best structure of this formula in the dataset = 0 meV per atom; magnetization = 0.00 μB per formula unit
1.0
5.0333 0.0000 0.0000
0.0000 5.0333 0.0000
0.0000 0.0000 5.0333
Cd Cu Pb
3 1 1
Cartesian
0.0000 0.0000 2.5167 Cd
0.0000 2.5167 0.0000 Cd
2.5167 0.0000 0.0000 Cd
0.0000 0.0000 0.0000 Cu
2.5167 2.5167 2.5167 Pb

=====

# 2
CdCuPb2 PBE-GGA relaxed; space group = No. 12; magnetization = 0.00 μB per formula unit
1.0
3.4558 -4.0885 0.0000
3.4558 4.0885 0.0000
-0.0410 0.0000 3.4979
Cd Cu Pb
1 1 2
Cartesian
0.0000 0.0000 0.0000 Cd
3.4558 0.0000 0.0000 Cu
1.7074 2.0442 1.7490 Pb
1.7074 -2.0442 1.7490 Pb

=====

# 3
CdCuPb2 PBE-GGA relaxed; space group = No. 12; magnetization = 0.00 μB per formula unit
1.0
4.2279 -1.8200 0.0000
4.2279 1.8200 0.0000
-1.6212 0.0000 6.7359
Cd Cu Pb
1 1 2
Cartesian
0.0000 0.0000 0.0000 Cd
3.4173 0.0000 3.3679 Cu
0.8409 0.0000 4.7414 Pb
5.9937 0.0000 1.9945 Pb

=====

# 4
CdCuPb2 PBE-GGA relaxed; space group = No. 166; magnetization = 0.00 μB per formula unit
1.0
1.8936 1.0933 8.3343
-1.8936 1.0933 8.3343
0.0000 -2.1866 8.3343
Cd Cu Pb
1 1 2
Cartesian
0.0000 0.0000 0.0000 Cd
0.0000 0.0000 12.5014 Cu
0.0000 0.0000 5.8898 Pb
0.0000 0.0000 19.1131 Pb

=====

# 5
CdCuPb2 PBE-GGA relaxed; space group = No. 119; magnetization = 0.00 μB per formula unit
1.0
-2.3123 2.3123 4.6473
2.3123 -2.3123 4.6473
2.3123 2.3123 -4.6473
Cd Cu Pb
1 1 2
Cartesian
0.0000 0.0000 0.0000 Cd
2.3123 0.0000 2.3237 Cu
0.0000 0.0000 4.6473 Pb
0.0000 2.3123 2.3237 Pb

=====

# 6
CdCuPb2 PBE-GGA relaxed; space group = No. 71; magnetization = 0.00 μB per formula unit
1.0
-1.8522 2.8087 4.8901
1.8522 -2.8087 4.8901
1.8522 2.8087 -4.8901
Cd Cu Pb
1 1 2
Cartesian
0.0000 0.0000 0.0000 Cd
0.0000 0.0000 4.8901 Cu
1.8522 0.0000 2.7851 Pb
0.0000 2.8087 2.1051 Pb

=====

no.,formation energy (eV/atom),calculated total energy (eV/atom)
1,0.19,-1.92
2,0.24,-2.86
3,0.20,-2.91
4,0.17,-2.93
5,0.25,-2.85
6,0.22,-2.88